(1)
A plane-wave DFT calculation with PBE was carried out for an optimized crystal structure of ScZn3Cu3.

CIF file:
```
data_ScZn3Cu3
_symmetry_space_group_name_H-M 'F m -3 m'
_symmetry_Int_Tables_number 225
_symmetry_space_group_name_Hall '-F 4 2 3'
_cell_length_a 11.346
_cell_length_b 11.346
_cell_length_c 11.346
_cell_angle_alpha 90.00
_cell_angle_beta 90.00
_cell_angle_gamma 90.00
loop_
_atom_site_label
_atom_site_type_symbol
_atom_site_fract_x
_atom_site_fract_y
_atom_site_fract_z
Sc1 Sc 0.250 0.250 0.250
Zn1 Zn 0.000 0.000 0.157
Cu1 Cu 0.000 0.000 0.353
```

Summary:
As for the formation energy: 0.860 eV per atom. The density of states at the Fermi level is 0.89 states/eV per atom. The size of the total moment comes out at 10.16 μB per cell. The value obtained for the excess energy over the best structure of this formula in the dataset is 411 meV/atom.


(2)
A plane-wave DFT calculation with PBE was carried out for an optimized crystal structure of Sc4ZnCu.

CIF file:
```
data_Sc4ZnCu
_symmetry_space_group_name_H-M 'P 4/m m m'
_symmetry_Int_Tables_number 123
_symmetry_space_group_name_Hall '-P 4 2'
_cell_length_a 4.568
_cell_length_b 4.568
_cell_length_c 6.507
_cell_angle_alpha 90.00
_cell_angle_beta 90.00
_cell_angle_gamma 90.00
loop_
_atom_site_label
_atom_site_type_symbol
_atom_site_fract_x
_atom_site_fract_y
_atom_site_fract_z
Sc1 Sc 0.000 0.500 0.244
Zn1 Zn 0.000 0.000 0.500
Cu1 Cu 0.500 0.500 0.000
```

Summary:
As for the formation energy: 0.051 eV per atom. The density of states at the Fermi level is 1.20 states/eV per atom. The size of the total moment comes out at 0.00 μB per cell. The value obtained for the excess energy over the best structure of this formula in the dataset is 234 meV/atom.


(3)
A plane-wave DFT calculation with PBE was carried out for an optimized crystal structure of ScZn11Cu.

CIF file:
```
data_ScZn11Cu
_symmetry_space_group_name_H-M 'C 1 2/m 1'
_symmetry_Int_Tables_number 12
_cell_length_a 5.146
_cell_length_b 12.392
_cell_length_c 6.696
_cell_angle_alpha 90.00
_cell_angle_beta 112.53
_cell_angle_gamma 90.00
loop_
_symmetry_equiv_pos_as_xyz
'x,y,z'
'-x,-y,-z'
'-x,y,-z'
'x,-y,z'
'x+1/2,y+1/2,z'
'-x+1/2,-y+1/2,-z'
'-x+1/2,y+1/2,-z'
'x+1/2,-y+1/2,z'
loop_
_atom_site_label
_atom_site_type_symbol
_atom_site_fract_x
_atom_site_fract_y
_atom_site_fract_z
Sc1 Sc 0.000 0.000 0.000
Zn1 Zn 0.000 0.000 0.500
Zn2 Zn 0.102 0.394 0.215
Zn3 Zn 0.184 0.173 0.353
Zn4 Zn 0.250 0.250 0.000
Cu1 Cu 0.000 0.500 0.500
```

Summary:
As for the formation energy: -0.144 eV per atom. The density of states at the Fermi level is 0.36 states/eV per atom. The size of the total moment comes out at 0.00 μB per cell.


(4)
A plane-wave DFT calculation with PBE was carried out for an optimized crystal structure of Sc2Zn12Cu5.

CIF file:
```
data_Sc2Zn12Cu5
_symmetry_space_group_name_H-M 'R -3 m'
_symmetry_Int_Tables_number 166
_symmetry_space_group_name_Hall '-R 3 2"'
_cell_length_a 8.7091
_cell_length_b 8.7091
_cell_length_c 12.8680
_cell_angle_alpha 90.00
_cell_angle_beta 90.00
_cell_angle_gamma 120.00
loop_
_atom_site_label
_atom_site_type_symbol
_atom_site_fract_x
_atom_site_fract_y
_atom_site_fract_z
Sc1 Sc 0.0000 0.0000 0.1698
Zn1 Zn 0.0000 0.2952 0.5000
Zn2 Zn 0.0004 0.5002 0.3500
Cu1 Cu 0.0000 0.0000 0.3986
Cu2 Cu 0.0000 0.5000 0.0000
```

Summary:
As for the formation energy: -0.183 eV per atom. The density of states at the Fermi level is 0.35 states/eV per atom. The size of the total moment comes out at 0.00 μB per cell.


(5)
A plane-wave DFT calculation with PBE was carried out for an optimized crystal structure of Sc2Zn4Cu3.

CIF file:
```
data_Sc2Zn4Cu3
_symmetry_space_group_name_H-M 'F m m m'
_symmetry_Int_Tables_number 69
_symmetry_space_group_name_Hall '-F 2 2'
_cell_length_a 4.946
_cell_length_b 8.691
_cell_length_c 12.901
_cell_angle_alpha 90.00
_cell_angle_beta 90.00
_cell_angle_gamma 90.00
loop_
_atom_site_label
_atom_site_type_symbol
_atom_site_fract_x
_atom_site_fract_y
_atom_site_fract_z
Sc1 Sc 0.000 0.000 0.124
Zn1 Zn 0.000 0.160 0.330
Cu1 Cu 0.000 0.000 0.500
Cu2 Cu 0.250 0.250 0.000
```

Summary:
As for the formation energy: -0.255 eV per atom. The density of states at the Fermi level is 0.45 states/eV per atom. The size of the total moment comes out at 0.00 μB per cell.


(6)
A plane-wave DFT calculation with PBE was carried out for an optimized crystal structure of Sc3Zn3Cu8.

CIF file:
```
data_Sc3Zn3Cu8
_symmetry_space_group_name_H-M 'I m m m'
_symmetry_Int_Tables_number 71
_symmetry_space_group_name_Hall '-I 2 2'
_cell_length_a 4.182
_cell_length_b 8.533
_cell_length_c 11.884
_cell_angle_alpha 90.00
_cell_angle_beta 90.00
_cell_angle_gamma 90.00
loop_
_atom_site_label
_atom_site_type_symbol
_atom_site_fract_x
_atom_site_fract_y
_atom_site_fract_z
Sc1 Sc 0.000 0.000 0.000
Sc2 Sc 0.000 0.000 0.297
Zn1 Zn 0.000 0.205 0.500
Zn2 Zn 0.000 0.500 0.000
Cu1 Cu 0.000 0.277 0.127
Cu2 Cu 0.000 0.359 0.325
```

Summary:
As for the formation energy: -0.183 eV per atom. The density of states at the Fermi level is 0.64 states/eV per atom. The size of the total moment comes out at 0.00 μB per cell.


(7)
A plane-wave DFT calculation with PBE was carried out for an optimized crystal structure of Sc8ZnCu2.

CIF file:
```
data_Sc8ZnCu2
_symmetry_space_group_name_H-M 'C 1 2/m 1'
_symmetry_Int_Tables_number 12
_cell_length_a 17.579
_cell_length_b 3.302
_cell_length_c 8.192
_cell_angle_alpha 90.00
_cell_angle_beta 103.51
_cell_angle_gamma 90.00
loop_
_symmetry_equiv_pos_as_xyz
'x,y,z'
'-x,-y,-z'
'-x,y,-z'
'x,-y,z'
'x+1/2,y+1/2,z'
'-x+1/2,-y+1/2,-z'
'-x+1/2,y+1/2,-z'
'x+1/2,-y+1/2,z'
loop_
_atom_site_label
_atom_site_type_symbol
_atom_site_fract_x
_atom_site_fract_y
_atom_site_fract_z
Sc1 Sc 0.034 0.000 0.236
Sc2 Sc 0.117 0.500 0.978
Sc3 Sc 0.130 0.000 0.650
Sc4 Sc 0.193 0.500 0.358
Zn1 Zn 0.000 0.500 0.500
Cu1 Cu 0.246 0.000 0.127
```

Summary:
As for the formation energy: -0.121 eV per atom. The density of states at the Fermi level is 1.11 states/eV per atom. The size of the total moment comes out at 0.00 μB per cell.


(8)
A plane-wave DFT calculation with PBE was carried out for an optimized crystal structure of ScZnCu2.

CIF file:
```
data_ScZnCu2
_symmetry_space_group_name_H-M 'A m m 2'
_symmetry_Int_Tables_number 38
_cell_length_a 4.030
_cell_length_b 3.112
_cell_length_c 10.013
_cell_angle_alpha 90.00
_cell_angle_beta 90.00
_cell_angle_gamma 90.00
loop_
_symmetry_equiv_pos_as_xyz
'x,y,z'
'-x,-y,z'
'-x,y,z'
'x,-y,z'
'x,y+1/2,z+1/2'
'-x,-y+1/2,z+1/2'
'-x,y+1/2,z+1/2'
'x,-y+1/2,z+1/2'
loop_
_atom_site_label
_atom_site_type_symbol
_atom_site_fract_x
_atom_site_fract_y
_atom_site_fract_z
Sc1 Sc 0.000 0.000 0.000
Zn1 Zn 0.500 0.000 0.678
Cu1 Cu 0.000 0.000 0.265
Cu2 Cu 0.500 0.000 0.402
```

Summary:
As for the formation energy: -0.129 eV per atom. The density of states at the Fermi level is 0.59 states/eV per atom. The size of the total moment comes out at 0.00 μB per cell.